A relaxed NdDyCdCo crystal. Source: Alexandria, functional GGA-PBE.

CIF file:
```
data_NdDyCdCo
_cell_length_a 7.246
_cell_length_b 7.246
_cell_length_c 7.246
_cell_angle_alpha 90.00
_cell_angle_beta 90.00
_cell_angle_gamma 90.00
_symmetry_space_group_name_H-M 'F -4 3 m'
_symmetry_Int_Tables_number 216
_symmetry_space_group_name_Hall 'F -4 2 3'
loop_
_atom_site_label
_atom_site_fract_x
_atom_site_fract_y
_atom_site_fract_z
Nd1 0.000 0.000 0.000
Dy1 0.000 0.000 0.500
Cd1 0.250 0.250 0.750
Co1 0.250 0.250 0.250
```


A relaxed DyScCdCo crystal. Source: Alexandria, functional GGA-PBE.

CIF file:
```
data_DyScCdCo
_cell_length_a 3.307
_cell_length_b 3.307
_cell_length_c 7.479
_cell_angle_alpha 90.00
_cell_angle_beta 90.00
_cell_angle_gamma 90.00
_symmetry_space_group_name_H-M 'P 4 m m'
_symmetry_Int_Tables_number 99
_symmetry_space_group_name_Hall 'P 4 -2'
loop_
_atom_site_label
_atom_site_fract_x
_atom_site_fract_y
_atom_site_fract_z
Dy1 0.000 0.000 0.000
Sc1 0.000 0.000 0.579
Cd1 0.500 0.500 0.310
Co1 0.500 0.500 0.767
```

Results
ΔE to the lowest computed polymorph in meV per atom: 0


A relaxed DyScCdCo crystal. Source: Alexandria, functional GGA-PBE.

CIF file:
```
data_DyScCdCo
_cell_length_a 6.913
_cell_length_b 6.913
_cell_length_c 6.913
_cell_angle_alpha 90.00
_cell_angle_beta 90.00
_cell_angle_gamma 90.00
_symmetry_space_group_name_H-M 'F -4 3 m'
_symmetry_Int_Tables_number 216
_symmetry_space_group_name_Hall 'F -4 2 3'
loop_
_atom_site_label
_atom_site_fract_x
_atom_site_fract_y
_atom_site_fract_z
Dy1 0.000 0.000 0.000
Sc1 0.000 0.000 0.500
Cd1 0.250 0.250 0.750
Co1 0.250 0.250 0.250
```

Results
ΔE to the lowest computed polymorph in meV per atom: 139


A relaxed TbDyCdCo crystal. Source: Alexandria, functional GGA-PBE.

CIF file:
```
data_TbDyCdCo
_cell_length_a 3.439
_cell_length_b 3.439
_cell_length_c 7.641
_cell_angle_alpha 90.00
_cell_angle_beta 90.00
_cell_angle_gamma 90.00
_symmetry_space_group_name_H-M 'P 4 m m'
_symmetry_Int_Tables_number 99
_symmetry_space_group_name_Hall 'P 4 -2'
loop_
_atom_site_label
_atom_site_fract_x
_atom_site_fract_y
_atom_site_fract_z
Tb1 0.000 0.000 0.000
Dy1 0.000 0.000 0.575
Cd1 0.500 0.500 0.289
Co1 0.500 0.500 0.786
```

Results
ΔE to the lowest computed polymorph in meV per atom: 0


A relaxed TbDyCdCo crystal. Source: Alexandria, functional GGA-PBE.

CIF file:
```
data_TbDyCdCo
_cell_length_a 7.133
_cell_length_b 7.133
_cell_length_c 7.133
_cell_angle_alpha 90.00
_cell_angle_beta 90.00
_cell_angle_gamma 90.00
_symmetry_space_group_name_H-M 'F -4 3 m'
_symmetry_Int_Tables_number 216
_symmetry_space_group_name_Hall 'F -4 2 3'
loop_
_atom_site_label
_atom_site_fract_x
_atom_site_fract_y
_atom_site_fract_z
Tb1 0.000 0.000 0.000
Dy1 0.000 0.000 0.500
Cd1 0.250 0.250 0.750
Co1 0.250 0.250 0.250
```

Results
ΔE to the lowest computed polymorph in meV per atom: 111


A relaxed DyTmCdCo crystal. Source: Alexandria, functional GGA-PBE.

CIF file:
```
data_DyTmCdCo
_cell_length_a 7.065
_cell_length_b 7.065
_cell_length_c 7.065
_cell_angle_alpha 90.00
_cell_angle_beta 90.00
_cell_angle_gamma 90.00
_symmetry_space_group_name_H-M 'F -4 3 m'
_symmetry_Int_Tables_number 216
_symmetry_space_group_name_Hall 'F -4 2 3'
loop_
_atom_site_label
_atom_site_fract_x
_atom_site_fract_y
_atom_site_fract_z
Dy1 0.000 0.000 0.000
Tm1 0.000 0.000 0.500
Cd1 0.250 0.250 0.250
Co1 0.250 0.250 0.750
```

Results
ΔE to the lowest computed polymorph in meV per atom: 120


A relaxed DyTmCdCo crystal. Source: Alexandria, functional GGA-PBE.

CIF file:
```
data_DyTmCdCo
_cell_length_a 3.399
_cell_length_b 3.399
_cell_length_c 7.601
_cell_angle_alpha 90.00
_cell_angle_beta 90.00
_cell_angle_gamma 90.00
_symmetry_space_group_name_H-M 'P 4 m m'
_symmetry_Int_Tables_number 99
_symmetry_space_group_name_Hall 'P 4 -2'
loop_
_atom_site_label
_atom_site_fract_x
_atom_site_fract_y
_atom_site_fract_z
Dy1 0.000 0.000 0.000
Tm1 0.000 0.000 0.576
Cd1 0.500 0.500 0.293
Co1 0.500 0.500 0.783
```

Results
ΔE to the lowest computed polymorph in meV per atom: 0


A relaxed Er6Cd3Co crystal. Source: Alexandria, functional GGA-PBE.

CIF file:
```
data_Er6Cd3Co
_cell_length_a 8.998
_cell_length_b 5.236
_cell_length_c 11.243
_cell_angle_alpha 90.00
_cell_angle_beta 108.87
_cell_angle_gamma 90.00
_symmetry_space_group_name_H-M 'P 1 21/m 1'
_symmetry_Int_Tables_number 11
_symmetry_space_group_name_Hall '-P 2yb'
loop_
_atom_site_label
_atom_site_fract_x
_atom_site_fract_y
_atom_site_fract_z
Er1 0.033 0.250 0.416
Er2 0.198 0.750 0.163
Er3 0.284 0.250 0.004
Er4 0.348 0.750 0.837
Er5 0.380 0.250 0.352
Er6 0.389 0.250 0.657
Cd1 0.004 0.750 0.870
Cd2 0.078 0.250 0.722
Cd3 0.269 0.750 0.475
Co1 0.463 0.750 0.092
```

Results
ΔE to the lowest computed polymorph in meV per atom: 0


no.,E (eV/atom),volume (Å³/f.u.),DFT formation energy (eV/atom)
1,-4.43,95,-0.086
2,-5.03,82,-0.288
3,-4.89,83,-0.149
4,-4.56,90,-0.247
5,-4.45,91,-0.137
6,-4.43,88,-0.156
7,-4.55,88,-0.276
8,-3.92,251,-0.201